Entry i
Density functional theory data (PBE) for an optimized crystal structure of Sm4HoEr2.

**M_tot**: 0.00 Bohr magnetons per cell

Cell: 6.198 6.582 11.540 Å, 90.00 104.92 90.00°
Element x y z (fractional)
Sm: 0.650 0.508 0.286
Sm: 0.039 0.750 0.864
Sm: 0.961 0.250 0.136
Sm: 0.650 0.992 0.286
Sm: 0.851 0.250 0.550
Sm: 0.350 0.008 0.714
Sm: 0.350 0.492 0.714
Sm: 0.149 0.750 0.450
Ho: 0.153 0.750 0.163
Ho: 0.847 0.250 0.837
Er: 0.609 0.750 0.995
Er: 0.391 0.250 0.005
Er: 0.289 0.250 0.424
Er: 0.711 0.750 0.576

***

Entry ii
Density functional theory data (PBE) for an optimized crystal structure of Sm4HoEr2.

**M_tot**: 0.00 Bohr magnetons per cell

Cell: 12.440 12.440 6.749 Å, 97.05 97.05 150.10°
Element x y z (fractional)
Sm: 0.710 0.173 0.861
Sm: 0.173 0.710 0.361
Sm: 0.185 0.795 0.894
Sm: 0.795 0.185 0.394
Sm: 0.042 0.151 0.606
Sm: 0.563 0.600 0.140
Sm: 0.600 0.563 0.640
Sm: 0.151 0.042 0.106
Ho: 0.425 0.675 0.500
Ho: 0.675 0.425 0.000
Er: 0.620 0.301 0.449
Er: 0.921 0.101 0.051
Er: 0.101 0.921 0.551
Er: 0.301 0.620 0.950

***

Decreasing stability: entry ii, entry i

***

Entry i
Density functional theory data (PBE) for an optimized crystal structure of Sm2HoEr5.

**M_tot**: 0.00 Bohr magnetons per cell

Cell: 5.620 8.599 11.380 Å, 89.99 90.00 109.07°
Element x y z (fractional)
Sm: 0.789 0.578 0.418
Sm: 0.789 0.578 0.082
Sm: 0.211 0.422 0.582
Sm: 0.211 0.422 0.918
Ho: 0.772 0.545 0.750
Ho: 0.228 0.455 0.250
Er: 0.955 0.911 0.888
Er: 0.955 0.910 0.612
Er: 0.413 0.827 0.421
Er: 0.413 0.827 0.079
Er: 0.605 0.210 0.250
Er: 0.395 0.790 0.750
Er: 0.587 0.173 0.579
Er: 0.587 0.173 0.921
Er: 0.045 0.089 0.112
Er: 0.045 0.090 0.388

***

Entry ii
Density functional theory data (PBE) for an optimized crystal structure of Sm2HoEr5.

**M_tot**: 0.00 Bohr magnetons per cell

Cell: 4.997 7.078 14.155 Å, 90.00 90.00 90.00°
Element x y z (fractional)
Sm: 0.500 0.250 0.625
Sm: 0.500 0.750 0.375
Sm: 0.500 0.250 0.125
Sm: 0.500 0.750 0.875
Ho: 0.000 0.000 0.500
Ho: 0.000 0.500 0.000
Er: 0.000 0.000 0.000
Er: 0.000 0.500 0.500
Er: 0.000 0.500 0.750
Er: 0.000 0.500 0.250
Er: 0.000 0.000 0.250
Er: 0.000 0.000 0.750
Er: 0.500 0.250 0.875
Er: 0.500 0.750 0.125
Er: 0.500 0.250 0.375
Er: 0.500 0.750 0.625

***

Decreasing stability: entry ii, entry i

***

Entry i
Density functional theory data (PBE) for an optimized crystal structure of Sm12Ho7Er.

**M_tot**: 0.00 Bohr magnetons per cell

Cell: 8.771 8.771 8.771 Å, 94.39 94.39 94.39°
Element x y z (fractional)
Sm: 0.817 0.249 0.685
Sm: 0.751 0.315 0.183
Sm: 0.477 0.146 0.413
Sm: 0.854 0.587 0.523
Sm: 0.315 0.183 0.751
Sm: 0.587 0.523 0.854
Sm: 0.413 0.477 0.146
Sm: 0.685 0.817 0.249
Sm: 0.146 0.413 0.477
Sm: 0.523 0.854 0.587
Sm: 0.249 0.685 0.817
Sm: 0.183 0.751 0.315
Ho: 0.917 0.652 0.980
Ho: 0.348 0.020 0.083
Ho: 0.020 0.083 0.348
Ho: 0.500 0.500 0.500
Ho: 0.980 0.917 0.652
Ho: 0.652 0.980 0.917
Ho: 0.083 0.348 0.020
Er: 0.000 0.000 0.000

***

Entry ii
Density functional theory data (PBE) for an optimized crystal structure of Sm12Ho7Er.

**M_tot**: 0.00 Bohr magnetons per cell

Cell: 6.156 11.475 11.475 Å, 116.87 100.30 100.30°
Element x y z (fractional)
Sm: 0.087 0.586 0.173
Sm: 0.086 0.173 0.587
Sm: 0.587 0.647 0.000
Sm: 0.414 0.000 0.354
Sm: 0.500 0.413 0.586
Sm: 0.060 0.646 0.647
Sm: 0.940 0.354 0.353
Sm: 0.500 0.587 0.414
Sm: 0.586 0.000 0.646
Sm: 0.413 0.353 0.000
Sm: 0.914 0.827 0.413
Sm: 0.913 0.414 0.827
Ho: 0.126 0.756 0.000
Ho: 0.875 0.000 0.244
Ho: 0.630 0.756 0.756
Ho: 0.500 0.000 0.000
Ho: 0.370 0.244 0.244
Ho: 0.125 0.000 0.756
Ho: 0.874 0.244 0.000
Er: 0.000 0.000 0.000

***

Decreasing stability: entry ii, entry i

***

Entry i
Density functional theory data (PBE) for an optimized crystal structure of Sm2HoEr8.

**M_tot**: 0.00 Bohr magnetons per cell

Cell: 5.473 8.034 9.301 Å, 115.58 107.11 90.00°
Element x y z (fractional)
Sm: 0.201 0.701 0.402
Sm: 0.799 0.299 0.598
Ho: 0.500 0.000 0.000
Er: 0.638 0.847 0.276
Er: 0.362 0.571 0.725
Er: 0.160 0.160 0.320
Er: 0.000 0.292 0.000
Er: 0.840 0.840 0.680
Er: 0.638 0.429 0.275
Er: 0.362 0.153 0.724
Er: 0.000 0.708 0.000

***

Entry ii
Density functional theory data (PBE) for an optimized crystal structure of Sm2HoEr8.

**M_tot**: 0.00 Bohr magnetons per cell

Cell: 5.838 8.983 9.161 Å, 60.64 74.38 56.68°
Element x y z (fractional)
Sm: 0.000 0.307 0.386
Sm: 0.000 0.693 0.614
Ho: 0.500 0.000 0.000
Er: 0.824 0.098 0.233
Er: 0.824 0.331 0.767
Er: 0.295 0.430 0.000
Er: 0.500 0.793 0.414
Er: 0.500 0.207 0.586
Er: 0.705 0.570 0.000
Er: 0.176 0.669 0.233
Er: 0.176 0.902 0.767

***

Decreasing stability: entry i, entry ii

***

Entry i
Density functional theory data (PBE) for an optimized crystal structure of SmHo7Er2.

**M_tot**: 0.00 Bohr magnetons per cell

Cell: 5.546 9.149 9.149 Å, 123.25 90.00 90.00°
Element x y z (fractional)
Sm: 0.000 0.000 0.000
Ho: 0.000 0.787 0.213
Ho: 0.000 0.213 0.787
Ho: 0.500 0.062 0.291
Ho: 0.500 0.938 0.709
Ho: 0.500 0.291 0.062
Ho: 0.500 0.709 0.938
Ho: 0.500 0.500 0.500
Er: 0.500 0.703 0.297
Er: 0.500 0.297 0.703

***

Entry ii
Density functional theory data (PBE) for an optimized crystal structure of SmHo7Er2.

**M_tot**: 0.00 Bohr magnetons per cell

Cell: 6.117 9.326 9.336 Å, 141.76 109.08 77.38°
Element x y z (fractional)
Sm: 0.000 0.000 0.000
Ho: 0.000 0.601 0.399
Ho: 0.000 0.399 0.601
Ho: 0.500 0.699 0.799
Ho: 0.500 0.301 0.201
Ho: 0.001 0.800 0.200
Ho: 0.999 0.200 0.800
Ho: 0.500 0.500 0.000
Er: 0.499 0.901 0.600
Er: 0.501 0.099 0.400

***

Decreasing stability: entry ii, entry i